No. 1
A geometry-optimized Pr4YMg structure. Source: Alexandria, functional PBE.

Output
- energy of formation from the pure elements (eV per atom) = 0.0089
- space-group type = Cmc2_1 (36)
- total energy (eV per atom) = -4.521
- E above lowest polymorph (eV/f.u.) = 0.20
- crystal system = orthorhombic
- mass density (Mg/m³) = 5.557

abc: 5.7072 11.5105 6.7869
angles: 90.00 114.86 90.00
Last column: nearest neighbours and their distance in Å.
Fractional coordinates of all 12 atoms:
Pr: 0.9789 0.1942 0.9579  2 Mg 3.29, 2 Pr 3.49-3.65, 1 Y 3.55
Pr: 0.0211 0.6942 0.0421  2 Mg 3.29, 2 Pr 3.49-3.65, 1 Y 3.55
Pr: 0.4967 0.9481 0.9934  2 Mg 3.45, 2 Y 3.59, 4 Pr 3.63-3.66
Pr: 0.5033 0.4481 0.0066  2 Mg 3.45, 2 Y 3.59, 4 Pr 3.63-3.66
Pr: 0.8229 0.4775 0.6458  1 Mg 3.30, 2 Y 3.44, 4 Pr 3.49-3.67
Pr: 0.1771 0.9775 0.3542  1 Mg 3.30, 2 Y 3.44, 4 Pr 3.49-3.67
Pr: 0.6826 0.1960 0.3652  2 Mg 3.49, 3 Y 3.64-3.83, 8 Pr 3.65-3.80
Pr: 0.3174 0.6960 0.6348  2 Mg 3.49, 3 Y 3.64-3.83, 8 Pr 3.65-3.80
Y: 0.8222 0.9173 0.6443  1 Mg 3.24, 5 Pr 3.44-3.59
Y: 0.1778 0.4173 0.3557  1 Mg 3.24, 5 Pr 3.44-3.59
Mg: 0.6546 0.7003 0.3091  1 Y 3.24, 7 Pr 3.29-3.49
Mg: 0.3454 0.2003 0.6909  1 Y 3.24, 7 Pr 3.29-3.49


No. 2
A geometry-optimized Nd3DyPu2Se6 structure. Source: Alexandria, functional PBE.

Output
- space-group type = C2/m (12)
- total energy (eV per atom) = -7.446
- uncorrected formation energy (eV/f.u.) = -20.87
- crystal system = monoclinic
- mass density (Mg/m³) = 8.373

abc: 7.2077 7.2077 7.2730
angles: 99.50 99.50 120.02
Last column: nearest neighbours and their distance in Å.
Fractional coordinates of all 12 atoms:
Nd: 0.1679 0.8321 0.5000  6 Se 2.99-3.00
Nd: 0.8321 0.1679 0.5000  6 Se 2.99-3.00
Nd: 0.5000 0.5000 0.5000  6 Se 2.99-3.00
Dy: 0.0000 0.0000 0.0000  6 Se 2.90-2.91
Pu: 0.3336 0.6664 0.0000  6 Se 2.92-2.93
Pu: 0.6664 0.3336 0.0000  6 Se 2.92-2.93
Se: 0.9202 0.5893 0.7604  1 Dy 2.90, 2 Pu 2.92, 3 Nd 2.99-3.00
Se: 0.7498 0.7498 0.2419  1 Dy 2.91, 2 Pu 2.93, 3 Nd 2.99-3.00
Se: 0.0798 0.4107 0.2396  1 Dy 2.90, 2 Pu 2.92, 3 Nd 2.99-3.00
Se: 0.5893 0.9202 0.7604  1 Dy 2.90, 2 Pu 2.92, 3 Nd 2.99-3.00
Se: 0.2502 0.2502 0.7581  1 Dy 2.91, 2 Pu 2.93, 3 Nd 2.99-3.00
Se: 0.4107 0.0798 0.2396  1 Dy 2.90, 2 Pu 2.92, 3 Nd 2.99-3.00


No. 3
A geometry-optimized Tb3Si4Ag2 structure. Source: Alexandria, functional PBE.

Output
- space-group type = C2/m (12)
- total energy (eV per atom) = -5.183
- uncorrected formation energy (eV/f.u.) = -5.37
- crystal system = monoclinic
- mass density (Mg/m³) = 7.279

abc: 4.2662 5.7817 8.2643
angles: 103.27 90.00 111.65
Last column: nearest neighbours and their distance in Å.
Fractional coordinates of all 9 atoms:
Tb: 0.6595 0.3189 0.6748  8 Si 2.99-3.23, 4 Ag 3.10-3.15
Tb: 0.0000 0.0000 0.0000  8 Si 3.11-3.17, 4 Ag 3.19
Tb: 0.3405 0.6811 0.3252  8 Si 2.99-3.23, 4 Ag 3.10-3.15
Si: 0.7217 0.4433 0.0479  2 Si 2.41, 1 Ag 2.46
Si: 0.2783 0.5567 0.9521  2 Si 2.41, 1 Ag 2.46
Si: 0.9425 0.8850 0.6048  1 Si 2.36, 2 Ag 2.48
Si: 0.0575 0.1150 0.3952  1 Si 2.36, 2 Ag 2.48
Ag: 0.6192 0.2385 0.2837  3 Si 2.46-2.48
Ag: 0.3808 0.7615 0.7163  3 Si 2.46-2.48


No. 4
A geometry-optimized TaBeRu structure. Source: Alexandria, functional PBE.

Output
- energy of formation from the pure elements (eV per atom) = -0.4945
- space-group type = Pmma (51)
- total energy (eV per atom) = -8.779
- E above lowest polymorph (eV/f.u.) = 0.00
- crystal system = orthorhombic
- mass density (Mg/m³) = 12.292

abc: 3.1475 6.5792 11.3911
angles: 90.00 90.00 90.00
Last column: nearest neighbours and their distance in Å.
Fractional coordinates of all 18 atoms:
Ta: 0.0000 0.2420 0.9533  5 Be 2.53-2.69, 4 Ru 2.75-2.82
Ta: 0.0000 0.7580 0.0467  5 Be 2.53-2.69, 4 Ru 2.75-2.82
Ta: 0.0000 0.2420 0.5467  5 Be 2.53-2.69, 4 Ru 2.75-2.82
Ta: 0.0000 0.7580 0.4533  5 Be 2.53-2.69, 4 Ru 2.75-2.82
Ta: 0.0000 0.1511 0.2500  5 Be 2.50-2.63, 6 Ru 2.76-2.80
Ta: 0.0000 0.8489 0.7500  5 Be 2.50-2.63, 6 Ru 2.76-2.80
Be: 0.5000 0.0528 0.0888  1 Be 2.14
Be: 0.5000 0.9472 0.9112  1 Be 2.14
Be: 0.5000 0.0528 0.4112  1 Be 2.14
Be: 0.5000 0.9472 0.5888  1 Be 2.14
Be: 0.0000 0.5503 0.2500  6 Ru 2.30-2.31
Be: 0.0000 0.4497 0.7500  6 Ru 2.30-2.31
Ru: 0.5000 0.4227 0.1213  3 Be 2.31-2.46
Ru: 0.5000 0.5773 0.8787  3 Be 2.31-2.46
Ru: 0.5000 0.4227 0.3787  3 Be 2.31-2.46
Ru: 0.5000 0.5773 0.6213  3 Be 2.31-2.46
Ru: 0.5000 0.8062 0.2500  4 Be 2.30-2.45
Ru: 0.5000 0.1938 0.7500  4 Be 2.30-2.45


No. 5
A geometry-optimized AcCrSi2B6 structure. Source: Alexandria, functional PBE.

Output
- space-group type = C2/c (15)
- total energy (eV per atom) = -6.472
- uncorrected formation energy (eV/f.u.) = -0.08
- crystal system = monoclinic
- mass density (Mg/m³) = 5.122

abc: 7.0214 7.0214 7.0925
angles: 118.69 118.69 88.52
Last column: nearest neighbours and their distance in Å.
Fractional coordinates of all 20 atoms:
Ac: 0.1474 0.8526 0.2500  8 B 2.91-3.02, 2 Si 3.15
Ac: 0.8526 0.1474 0.7500  8 B 2.91-3.02, 2 Si 3.15
Cr: 0.6479 0.3521 0.2500  8 B 2.19-2.31, 2 Si 2.41
Cr: 0.3521 0.6479 0.7500  8 B 2.19-2.31, 2 Si 2.41
Si: 0.3931 0.2555 0.8197  4 B 2.05-2.12
Si: 0.7445 0.6069 0.6803  4 B 2.05-2.12
Si: 0.6069 0.7445 0.1803  4 B 2.05-2.12
Si: 0.2555 0.3931 0.3197  4 B 2.05-2.12
B: 0.3226 0.4599 0.1038  2 B 1.65-1.73
B: 0.5401 0.6774 0.3962  2 B 1.65-1.73
B: 0.6774 0.5401 0.8962  2 B 1.65-1.73
B: 0.4599 0.3226 0.6038  2 B 1.65-1.73
B: 0.4988 0.0007 0.8814  2 B 1.63-1.68
B: 0.9993 0.5012 0.6186  2 B 1.63-1.68
B: 0.5012 0.9993 0.1186  2 B 1.63-1.68
B: 0.0007 0.4988 0.3814  2 B 1.63-1.68
B: 0.5208 0.8075 0.6495  2 B 1.63-1.65
B: 0.1925 0.4792 0.8505  2 B 1.63-1.65
B: 0.4792 0.1925 0.3505  2 B 1.63-1.65
B: 0.8075 0.5208 0.1495  2 B 1.63-1.65


No. 6
A geometry-optimized Pm8ErMg6 structure. Source: Alexandria, functional PBE.

Output
- energy of formation from the pure elements (eV per atom) = 0.1605
- space-group type = R-3 (148)
- total energy (eV per atom) = -3.315
- crystal system = trigonal
- mass density (Mg/m³) = 5.021

abc: 9.2348 9.2348 8.4815
angles: 57.02 57.02 60.00
Last column: nearest neighbours and their distance in Å.
Fractional coordinates of all 15 atoms:
Pm: 0.5531 0.2125 0.3530  5 Mg 3.25-3.43, 1 Pm 3.62
Pm: 0.7875 0.1185 0.6470  5 Mg 3.25-3.43, 1 Pm 3.62
Pm: 0.1185 0.4469 0.6470  5 Mg 3.25-3.43, 1 Pm 3.62
Pm: 0.6667 0.6667 0.9999  6 Mg 3.22
Pm: 0.3333 0.3333 0.0001  6 Mg 3.22
Pm: 0.8815 0.5531 0.3530  5 Mg 3.25-3.43, 1 Pm 3.62
Pm: 0.2125 0.8815 0.3530  5 Mg 3.25-3.43, 1 Pm 3.62
Pm: 0.4469 0.7875 0.6470  5 Mg 3.25-3.43, 1 Pm 3.62
Er: 0.0000 0.0000 0.0000  6 Mg 3.20
Mg: 0.3786 0.0463 0.8603  1 Er 3.20, 7 Pm 3.22-3.43, 2 Mg 3.58
Mg: 0.9537 0.2852 0.1397  1 Er 3.20, 7 Pm 3.22-3.43, 2 Mg 3.58
Mg: 0.2852 0.6214 0.1397  1 Er 3.20, 7 Pm 3.22-3.43, 2 Mg 3.58
Mg: 0.7148 0.3786 0.8603  1 Er 3.20, 7 Pm 3.22-3.43, 2 Mg 3.58
Mg: 0.0463 0.7148 0.8603  1 Er 3.20, 7 Pm 3.22-3.43, 2 Mg 3.58
Mg: 0.6214 0.9537 0.1397  1 Er 3.20, 7 Pm 3.22-3.43, 2 Mg 3.58


No. 7
A geometry-optimized AsRu2W structure. Source: Alexandria, functional PBE.

Output
- energy of formation from the pure elements (eV per atom) = 0.1998
- space-group type = Cmmm (65)
- total energy (eV per atom) = -8.839
- crystal system = orthorhombic
- mass density (Mg/m³) = 12.902

abc: 4.5994 4.5994 2.8818
angles: 90.00 90.00 103.34
Last column: nearest neighbours and their distance in Å.
Fractional coordinates of all 4 atoms:
Ru: 0.0000 0.0000 0.0000  4 W 2.71, 4 As 2.71, 4 Ru 2.85-2.88
Ru: 0.5000 0.5000 0.0000  4 As 2.71, 4 W 2.71, 4 Ru 2.85-2.88
As: 0.0000 0.5000 0.5000  8 Ru 2.71, 2 W 2.85, 2 As 2.88
W: 0.5000 0.0000 0.5000  8 Ru 2.71, 2 As 2.85, 2 W 2.88


No. 8
A geometry-optimized CaSc2C structure. Source: Alexandria, functional PBE.

Output
- energy of formation from the pure elements (eV per atom) = 0.1066
- space-group type = I-42d (122)
- total energy (eV per atom) = -5.866
- crystal system = tetragonal
- mass density (Mg/m³) = 2.080

abc: 6.8415 6.8415 6.8465
angles: 60.02 60.02 90.00
Last column: nearest neighbours and their distance in Å.
Fractional coordinates of all 8 atoms:
Sc: 0.3610 0.1250 0.2500  2 C 2.10
Sc: 0.3890 0.6250 0.2500  2 C 2.10
Sc: 0.3750 0.6390 0.7500  2 C 2.10
Sc: 0.8750 0.6110 0.7500  2 C 2.10
Ca: 0.0000 0.0000 0.0000  12 Sc 3.93-4.09, 4 Ca 4.19, 4 C 4.19
Ca: 0.7500 0.2500 0.5000  12 Sc 3.93-4.09, 4 C 4.19, 4 Ca 4.19
C: 0.5000 0.5000 0.0000  4 Sc 2.10
C: 0.2500 0.7500 0.5000  4 Sc 2.10